No. 1
# NiIr2Se | Alexandria | PBE | relaxed
data_NiIr2Se
_chemical_formula_sum 'Ni1 Ir2 Se1'
_symmetry_space_group_name_H-M 'P 1'
_symmetry_Int_Tables_number 1
_symmetry_space_group_name_Hall 'P 1'
_cell_length_a 4.516
_cell_length_b 4.516
_cell_length_c 4.755
_cell_angle_alpha 100.55
_cell_angle_beta 100.55
_cell_angle_gamma 37.21
loop_
_atom_site_label
_atom_site_fract_x
_atom_site_fract_y
_atom_site_fract_z
Ni1 0.000 0.000 0.000
Ir1 0.252 0.252 0.760
Ir2 0.748 0.748 0.240
Se1 0.500 0.500 0.500
# Space-group type: C2/m
# ρ: 15.07 g cm⁻³
# Distance to the lowest polymorph of the same formula: 34.3 meV per atom
# Crystal system: monoclinic
# Formation energy from raw total energies: 0.2736 eV/atom
# Raw total energy: -25.893 eV per cell



No. 2
# Ba2Ge2Cl | Alexandria | PBE | relaxed
data_Ba2Ge2Cl
_chemical_formula_sum 'Ba2 Ge2 Cl1'
_symmetry_space_group_name_H-M 'P 1'
_symmetry_Int_Tables_number 1
_symmetry_space_group_name_Hall 'P 1'
_cell_length_a 9.701
_cell_length_b 9.701
_cell_length_c 9.701
_cell_angle_alpha 155.55
_cell_angle_beta 155.55
_cell_angle_gamma 34.85
loop_
_atom_site_label
_atom_site_fract_x
_atom_site_fract_y
_atom_site_fract_z
Ba1 0.110 0.110 0.000
Ba2 0.890 0.890 0.000
Ge1 0.250 0.750 0.500
Ge2 0.750 0.250 0.500
Cl1 0.500 0.500 0.000
# Space-group type: I4/mmm
# ρ: 4.84 g cm⁻³
# Distance to the lowest polymorph of the same formula: 288.5 meV per atom
# Crystal system: tetragonal
# Formation energy from raw total energies: -0.8320 eV/atom
# Raw total energy: -19.087 eV per cell



No. 3
# Ac12La4Pr3Sm | Alexandria | PBE | relaxed
data_Ac12La4Pr3Sm
_chemical_formula_sum 'Ac12 La4 Pr3 Sm1'
_symmetry_space_group_name_H-M 'P 1'
_symmetry_Int_Tables_number 1
_symmetry_space_group_name_Hall 'P 1'
_cell_length_a 10.577
_cell_length_b 10.577
_cell_length_c 10.577
_cell_angle_alpha 109.47
_cell_angle_beta 109.47
_cell_angle_gamma 109.47
loop_
_atom_site_label
_atom_site_fract_x
_atom_site_fract_y
_atom_site_fract_z
Ac1 0.084 0.794 0.290
Ac2 0.206 0.290 0.496
Ac3 0.206 0.710 0.916
Ac4 0.290 0.084 0.794
Ac5 0.290 0.496 0.206
Ac6 0.496 0.206 0.290
Ac7 0.504 0.794 0.710
Ac8 0.710 0.504 0.794
Ac9 0.710 0.916 0.206
Ac10 0.794 0.290 0.084
Ac11 0.794 0.710 0.504
Ac12 0.916 0.206 0.710
La1 0.000 0.000 0.500
La2 0.000 0.500 0.000
La3 0.500 0.000 0.000
La4 0.500 0.500 0.500
Pr1 0.000 0.500 0.500
Pr2 0.500 0.000 0.500
Pr3 0.500 0.500 0.000
Sm1 0.000 0.000 0.000
# Space-group type: Im-3
# ρ: 7.02 g cm⁻³
# Formation enthalpy at 0 K: 0.609 eV per atom
# Crystal system: cubic
# Raw total energy: -75.888 eV per cell



No. 4
# HgPdAu | Alexandria | PBE | relaxed
data_HgPdAu
_chemical_formula_sum 'Hg2 Pd2 Au2'
_symmetry_space_group_name_H-M 'P 1'
_symmetry_Int_Tables_number 1
_symmetry_space_group_name_Hall 'P 1'
_cell_length_a 5.093
_cell_length_b 5.093
_cell_length_c 5.923
_cell_angle_alpha 117.66
_cell_angle_beta 117.66
_cell_angle_gamma 57.37
loop_
_atom_site_label
_atom_site_fract_x
_atom_site_fract_y
_atom_site_fract_z
Hg1 0.006 0.006 0.253
Hg2 0.994 0.994 0.747
Pd1 0.331 0.331 0.750
Pd2 0.669 0.669 0.250
Au1 0.336 0.336 0.249
Au2 0.664 0.664 0.751
# Space-group type: C2/m
# ρ: 15.24 g cm⁻³
# Distance to the lowest polymorph of the same formula: 18.1 meV per atom
# Formation enthalpy at 0 K: -0.048 eV per atom
# Crystal system: monoclinic
# Raw total energy: -17.831 eV per cell